Record 1
16
Lattice="6.3848 0.0000 0.0000 0.0000 6.3848 0.0000 0.0000 0.0000 6.3848" Properties=species:S:1:pos:R:3 comment="Li2YOs GGA-PBE relaxed" spacegroup="No. 225" delta_e_f_ev_per_atom=0.255 polymorph_energy_kj_per_mol_fu=37 pbc="T T T"
Li 1.5962 1.5962 1.5962
Li 1.5962 1.5962 4.7886
Li 1.5962 4.7886 1.5962
Li 1.5962 4.7886 4.7886
Li 4.7886 1.5962 1.5962
Li 4.7886 1.5962 4.7886
Li 4.7886 4.7886 1.5962
Li 4.7886 4.7886 4.7886
Y 0.0000 0.0000 0.0000
Y 0.0000 3.1924 3.1924
Y 3.1924 0.0000 3.1924
Y 3.1924 3.1924 0.0000
Os 0.0000 0.0000 3.1924
Os 0.0000 3.1924 0.0000
Os 3.1924 0.0000 0.0000
Os 3.1924 3.1924 3.1924

=====

Record 2
5
Lattice="6.6003 0.0000 0.0000 0.0000 6.6003 0.0000 0.0000 0.0000 6.6003" Properties=species:S:1:pos:R:3 comment="Rb3AlRe GGA-PBE relaxed" spacegroup="No. 221" delta_e_f_ev_per_atom=1.670 polymorph_energy_kj_per_mol_fu=0 pbc="T T T"
Rb 0.0000 0.0000 3.3001
Rb 0.0000 3.3001 0.0000
Rb 3.3001 0.0000 0.0000
Al 3.3001 3.3001 3.3001
Re 0.0000 0.0000 0.0000

=====

Record 3
11
Lattice="4.2065 0.0000 0.0000 -0.0018 5.0583 0.0000 -2.0923 -2.5035 15.4421" Properties=species:S:1:pos:R:3 comment="Ac3Mg4In4 GGA-PBE relaxed" spacegroup="No. 2" delta_e_f_ev_per_atom=-0.326 polymorph_energy_kj_per_mol_fu=58 pbc="T T T"
Ac 0.0000 0.0000 0.0000
Ac 0.0029 2.5345 4.4648
Ac 2.1094 0.0203 10.9773
Mg 0.0027 0.0156 7.8952
Mg 0.0107 2.5507 12.5280
Mg 2.1017 0.0041 2.9140
Mg 2.1097 2.5392 7.5468
In 0.0036 2.5498 9.6330
In 0.0077 0.0219 13.9339
In 2.1047 2.5329 1.5081
In 2.1087 0.0050 5.8091

=====

Record 4
12
Lattice="5.1176 0.0000 0.0000 0.0000 5.1176 0.0000 0.0000 0.0000 15.3862" Properties=species:S:1:pos:R:3 comment="LaSm9Ho2 GGA-PBE relaxed" spacegroup="No. 123" delta_e_f_ev_per_atom=0.021 pbc="T T T"
La 0.0000 0.0000 0.0000
Sm 0.0000 2.5588 2.6211
Sm 0.0000 2.5588 7.6931
Sm 0.0000 2.5588 12.7651
Sm 2.5588 0.0000 2.6211
Sm 2.5588 0.0000 7.6931
Sm 2.5588 0.0000 12.7651
Sm 2.5588 2.5588 0.0000
Sm 2.5588 2.5588 5.1727
Sm 2.5588 2.5588 10.2135
Ho 0.0000 0.0000 5.1507
Ho 0.0000 0.0000 10.2355

=====

Record 5
11
Lattice="4.4514 -7.5850 0.0000 4.4514 7.5850 0.0000 -2.0316 0.0000 5.3553" Properties=species:S:1:pos:R:3 comment="LaSm8Hg2 GGA-PBE relaxed" spacegroup="No. 12" delta_e_f_ev_per_atom=-0.055 pbc="T T T"
La 0.0000 0.0000 0.0000
Sm 0.5821 1.7299 3.2484
Sm 4.4514 4.1213 0.0000
Sm 0.5821 -1.7299 3.2484
Sm 3.1833 0.0000 1.0848
Sm 3.6880 0.0000 4.2705
Sm 6.2892 1.7299 2.1070
Sm 4.4514 -4.1213 0.0000
Sm 6.2892 -1.7299 2.1070
Hg 3.4356 2.9325 2.6777
Hg 3.4356 -2.9325 2.6777

=====

Record 6
14
Lattice="15.4700 0.0000 0.0000 0.0000 4.1674 0.0000 -3.2039 0.0000 6.7323" Properties=species:S:1:pos:R:3 comment="Ca3Se2Br2 GGA-PBE relaxed" spacegroup="No. 12" e_tot_ev_per_atom=-4.298 pbc="T T T"
Ca 0.0000 0.0000 0.0000
Ca 1.1901 2.0837 5.0417
Ca 3.3410 0.0000 1.6906
Ca 7.7350 2.0837 0.0000
Ca 8.9251 0.0000 5.0417
Ca 11.0760 2.0837 1.6906
Se 2.0860 2.0837 0.0324
Se 2.4451 0.0000 6.6999
Se 9.8210 0.0000 0.0324
Se 10.1801 2.0837 6.6999
Br 0.5319 0.0000 3.0379
Br 3.9992 2.0837 3.6944
Br 8.2669 2.0837 3.0379
Br 11.7342 0.0000 3.6944

=====

Record 7
16
Lattice="10.7825 0.0000 0.0000 0.0000 10.0376 0.0000 0.0000 0.0000 5.1301" Properties=species:S:1:pos:R:3 comment="Tl3PdBr4 GGA-PBE relaxed" spacegroup="No. 31" e_tot_ev_per_atom=-2.964 pbc="T T T"
Tl 0.0000 0.8933 0.0000
Tl 1.8942 6.4558 2.5563
Tl 3.4970 3.5818 5.1213
Tl 5.3913 9.1443 2.5651
Tl 7.2855 3.5818 5.1213
Tl 8.8883 6.4558 2.5563
Pd 0.0000 4.2932 2.5571
Pd 5.3913 5.7445 5.1221
Br 0.0000 4.4434 5.1220
Br 0.0000 8.9068 2.5627
Br 2.0795 2.4465 2.5563
Br 3.3118 7.5911 5.1214
Br 5.3913 1.1308 5.1278
Br 5.3913 5.5942 2.5570
Br 7.4707 7.5911 5.1214
Br 8.7030 2.4465 2.5563

=====

Record 8
8
Lattice="5.4888 0.0000 0.0000 0.0000 8.8583 0.0000 -0.9227 0.0000 2.5762" Properties=species:S:1:pos:R:3 comment="AlMo2W GGA-PBE relaxed" spacegroup="No. 12" delta_e_f_ev_per_atom=-0.009 pbc="T T T"
Al 0.0000 0.0000 0.0000
Al 2.7444 4.4291 0.0000
Mo 0.9108 2.2146 1.2881
Mo 0.9108 6.6437 1.2881
Mo 3.6552 2.2146 1.2881
Mo 3.6552 6.6437 1.2881
W 0.0000 4.4291 0.0000
W 2.7444 0.0000 0.0000

=====

Record 9
4
Lattice="5.6007 0.0000 0.0000 0.0000 5.6007 0.0000 0.0000 0.0000 3.3805" Properties=species:S:1:pos:R:3 comment="Th2PaAu GGA-PBE relaxed" spacegroup="No. 123" delta_e_f_ev_per_atom=-0.218 polymorph_energy_kj_per_mol_fu=0 pbc="T T T"
Th 0.0000 2.8003 0.0000
Th 2.8003 0.0000 0.0000
Pa 0.0000 0.0000 1.6903
Au 2.8003 2.8003 1.6903

=====

Record 10
12
Lattice="6.3018 0.0000 0.0000 0.0000 6.3018 0.0000 0.0000 0.0000 6.3018" Properties=species:S:1:pos:R:3 comment="InTc2 GGA-PBE relaxed" spacegroup="No. 205" delta_e_f_ev_per_atom=1.269 pbc="T T T"
In 0.0000 0.0000 0.0000
In 0.0000 3.1509 3.1509
In 3.1509 0.0000 3.1509
In 3.1509 3.1509 0.0000
Tc 0.6354 3.7863 5.6664
Tc 0.6354 5.6664 2.5155
Tc 2.5155 0.6354 5.6664
Tc 2.5155 2.5155 2.5155
Tc 3.7863 3.7863 3.7863
Tc 3.7863 5.6664 0.6354
Tc 5.6664 0.6354 3.7863
Tc 5.6664 2.5155 0.6354

=====

Record 11
12
Lattice="3.8886 0.0000 0.0000 -1.9443 3.3676 0.0000 0.0000 0.0000 21.3540" Properties=species:S:1:pos:R:3 comment="Cu2TeI GGA-PBE relaxed" spacegroup="No. 160" polymorph_energy_kj_per_mol_fu=84 pbc="T T T"
Cu 0.0000 0.0000 0.0000
Cu 0.0000 0.0000 4.0644
Cu 0.0000 2.2451 14.2360
Cu 0.0000 2.2451 18.3004
Cu 1.9443 1.1225 7.1180
Cu 1.9443 1.1225 11.1824
Te 0.0000 0.0000 12.6000
Te 0.0000 2.2451 5.4820
Te 1.9443 1.1225 19.7179
I 0.0000 0.0000 8.8062
I 0.0000 2.2451 1.6882
I 1.9443 1.1225 15.9242

=====

Record 12
12
Lattice="3.1182 -5.3997 0.0000 3.1182 5.3997 0.0000 -2.0742 0.0000 11.7167" Properties=species:S:1:pos:R:3 comment="Nd2Sm6HoEr3 GGA-PBE relaxed" spacegroup="No. 12" delta_e_f_ev_per_atom=0.017 pbc="T T T"
Nd 3.1182 3.5996 0.0000
Nd 3.1182 -3.5996 0.0000
Sm 0.0061 1.7940 8.7450
Sm 1.0466 0.0000 2.9749
Sm 0.0061 -1.7940 8.7450
Sm 4.1562 1.7940 2.9717
Sm 3.1157 0.0000 8.7418
Sm 4.1562 -1.7940 2.9717
Ho 3.1182 0.0000 0.0000
Er -1.0371 0.0000 5.8583
Er 2.0811 1.7968 5.8583
Er 2.0811 -1.7968 5.8583

=====

Record 13
16
Lattice="8.6957 0.0000 0.0000 0.0000 8.6957 0.0000 0.0000 0.0000 8.6957" Properties=species:S:1:pos:R:3 comment="CsSrTl2 GGA-PBE relaxed" spacegroup="No. 225" delta_e_f_ev_per_atom=-0.077 polymorph_energy_kj_per_mol_fu=47 pbc="T T T"
Cs 0.0000 0.0000 0.0000
Cs 0.0000 4.3478 4.3478
Cs 4.3478 0.0000 4.3478
Cs 4.3478 4.3478 0.0000
Sr 0.0000 0.0000 4.3478
Sr 0.0000 4.3478 0.0000
Sr 4.3478 0.0000 0.0000
Sr 4.3478 4.3478 4.3478
Tl 2.1739 2.1739 2.1739
Tl 2.1739 2.1739 6.5217
Tl 2.1739 6.5217 2.1739
Tl 2.1739 6.5217 6.5217
Tl 6.5217 2.1739 2.1739
Tl 6.5217 2.1739 6.5217
Tl 6.5217 6.5217 2.1739
Tl 6.5217 6.5217 6.5217

=====

Record 14
5
Lattice="5.2073 0.0000 0.0000 0.0000 5.2073 0.0000 0.0000 0.0000 5.6015" Properties=species:S:1:pos:R:3 comment="BaCaPtCl2 GGA-PBE relaxed" spacegroup="No. 123" e_tot_ev_per_atom=-4.252 pbc="T T T"
Ba 0.0000 0.0000 0.0000
Ca 2.6036 2.6036 2.8007
Pt 2.6036 2.6036 0.0000
Cl 0.0000 2.6036 2.8007
Cl 2.6036 0.0000 2.8007

=====

Record 15
16
Lattice="4.4293 0.0000 0.0000 0.0000 26.1106 0.0000 0.0000 0.0000 4.3648" Properties=species:S:1:pos:R:3 comment="BiAsPb2 GGA-PBE relaxed" spacegroup="No. 63" delta_e_f_ev_per_atom=0.052 polymorph_energy_kj_per_mol_fu=0 pbc="T T T"
Bi 0.0000 1.2154 1.0912
Bi 0.0000 24.8952 3.2736
Bi 2.2146 11.8399 3.2736
Bi 2.2146 14.2707 1.0912
As 0.0000 7.9941 1.0912
As 0.0000 18.1165 3.2736
As 2.2146 5.0612 3.2736
As 2.2146 21.0494 1.0912
Pb 0.0000 5.0381 1.0912
Pb 0.0000 10.7788 1.0912
Pb 0.0000 15.3318 3.2736
Pb 0.0000 21.0725 3.2736
Pb 2.2146 2.2765 3.2736
Pb 2.2146 8.0172 3.2736
Pb 2.2146 18.0935 1.0912
Pb 2.2146 23.8341 1.0912

=====

Record 16
14
Lattice="16.9397 0.0000 0.0000 0.0000 3.5606 0.0000 -4.3087 0.0000 7.7273" Properties=species:S:1:pos:R:3 comment="PmSm4Ho2 GGA-PBE relaxed" spacegroup="No. 12" delta_e_f_ev_per_atom=0.035 polymorph_energy_kj_per_mol_fu=0 pbc="T T T"
Pm 0.0000 0.0000 0.0000
Pm 8.4699 1.7803 0.0000
Sm -1.2413 1.7803 6.4292
Sm 2.2023 1.7803 2.2677
Sm 1.9588 0.0000 5.4596
Sm 5.4025 0.0000 1.2981
Sm 7.2285 0.0000 6.4292
Sm 10.6722 0.0000 2.2677
Sm 10.4287 1.7803 5.4596
Sm 13.8723 1.7803 1.2981
Ho -0.6538 0.0000 3.3230
Ho 4.8149 1.7803 4.4042
Ho 7.8161 1.7803 3.3230
Ho 13.2848 0.0000 4.4042

=====

Record 17
12
Lattice="4.3579 0.0000 0.0000 0.0000 6.3186 0.0000 0.0000 0.0000 13.7596" Properties=species:S:1:pos:R:3 comment="Ac3NiAu2 GGA-PBE relaxed" spacegroup="No. 71" delta_e_f_ev_per_atom=-0.577 polymorph_energy_kj_per_mol_fu=12 pbc="T T T"
Ac 0.0000 0.0000 0.0000
Ac 0.0000 0.0000 4.8172
Ac 0.0000 0.0000 8.9424
Ac 2.1789 3.1593 2.0626
Ac 2.1789 3.1593 6.8798
Ac 2.1789 3.1593 11.6970
Ni 0.0000 3.1593 0.0000
Ni 2.1789 0.0000 6.8798
Au 0.0000 3.1593 4.4993
Au 0.0000 3.1593 9.2603
Au 2.1789 0.0000 2.3805
Au 2.1789 0.0000 11.3791

=====

Record 18
4
Lattice="3.3129 0.0000 0.0000 0.0000 3.3166 0.0000 -0.0173 0.0000 8.4692" Properties=species:S:1:pos:R:3 comment="RbBeTlPd GGA-PBE relaxed" spacegroup="No. 6" delta_e_f_ev_per_atom=0.050 polymorph_energy_kj_per_mol_fu=12 pbc="T T T"
Rb 0.0000 0.0000 0.0000
Be 1.6543 1.6583 5.5918
Tl 1.6593 1.6583 2.9542
Pd -0.0002 0.0000 5.1431

=====

Record 19
10
Lattice="4.1486 0.0000 0.0000 0.0000 4.1486 0.0000 0.0000 0.0000 11.1825" Properties=species:S:1:pos:R:3 comment="Ca2MgGe3Pt4 GGA-PBE relaxed" spacegroup="No. 115" delta_e_f_ev_per_atom=-0.828 pbc="T T T"
Ca 0.0000 2.0743 2.7352
Ca 2.0743 0.0000 8.4473
Mg 0.0000 0.0000 5.5913
Ge 0.0000 2.0743 9.6842
Ge 2.0743 0.0000 1.4983
Ge 2.0743 2.0743 5.5913
Pt 0.0000 0.0000 0.0000
Pt 0.0000 2.0743 7.2178
Pt 2.0743 0.0000 3.9647
Pt 2.0743 2.0743 0.0000

=====

Record 20
4
Lattice="3.5873 0.0000 0.0000 0.0000 3.5873 0.0000 0.0000 0.0000 8.5052" Properties=species:S:1:pos:R:3 comment="Pr2CoI GGA-PBE relaxed" spacegroup="No. 123" polymorph_energy_kj_per_mol_fu=85 pbc="T T T"
Pr 0.0000 0.0000 1.7148
Pr 0.0000 0.0000 6.7904
Co 1.7936 1.7936 0.0000
I 1.7936 1.7936 4.2526

=====

| no. | spin magnetization (μB/cell) | V (Å³/cell) |
| --- | --- | --- |
| 1 | 0.00 | 260.28 |
| 2 | 1.38 | 287.53 |
| 3 | 0.00 | 328.57 |
| 4 | 0.00 | 402.96 |
| 5 | 0.00 | 361.64 |
| 6 | 0.00 | 434.03 |
| 7 | 0.00 | 555.24 |
| 8 | 0.00 | 125.26 |
| 9 | 0.00 | 106.04 |
| 10 | 0.71 | 250.26 |
| 11 | 0.00 | 279.64 |
| 12 | 0.00 | 394.56 |
| 13 | 0.00 | 657.52 |
| 14 | 0.00 | 151.89 |
| 15 | 0.00 | 504.80 |
| 16 | 0.00 | 466.08 |
| 17 | 0.00 | 378.88 |
| 18 | 0.00 | 93.05 |
| 19 | 0.00 | 192.47 |
| 20 | 0.64 | 109.45 |